Entry 1:
Entry from Alexandria via LeMat-Bulk: a geometry-optimized Ac3NdY8 structure (PBE-GGA).

Properties
electronic total energy = -5.69 eV per atom
energy of formation from the pure elements = 42 meV/atom

Cell: 8.758 8.758 8.758 Å, 100.51 95.25 136.56°
Positions (direct):
1 Ac 0.000 0.000 0.000
2 Ac 0.402 0.654 0.747
3 Ac 0.907 0.654 0.253
4 Nd 0.499 0.999 0.500
5 Y 0.414 0.330 0.421
6 Y 0.414 0.992 0.083
7 Y 0.490 0.318 0.828
8 Y 0.490 0.663 0.172
9 Y 0.909 0.330 0.917
10 Y 0.909 0.992 0.579
11 Y 0.988 0.319 0.332
12 Y 0.988 0.656 0.668

Entry 2:
Entry from Alexandria via LeMat-Bulk: a geometry-optimized RuPt structure (PBE-GGA).

Properties
electronic total energy = -7.70 eV per atom
energy of formation from the pure elements = -40 meV/atom

Cell: 2.735 2.735 7.898 Å, 90.00 90.00 90.00°
Positions (direct):
1 Ru 0.250 0.250 0.111
2 Ru 0.750 0.750 0.889
3 Pt 0.250 0.250 0.634
4 Pt 0.750 0.750 0.366

Entry 3:
Entry from Alexandria via LeMat-Bulk: a geometry-optimized HfB3P structure (PBE-GGA).

Properties
electronic total energy = -4.98 eV per atom
offset from the most stable computed form = 1187 meV/atom
energy of formation from the pure elements = 2095 meV/atom

Cell: 4.425 4.425 4.425 Å, 90.00 90.00 90.00°
Positions (direct):
1 Hf 0.000 0.000 0.000
2 B 0.000 0.000 0.500
3 B 0.000 0.500 0.000
4 B 0.500 0.000 0.000
5 P 0.500 0.500 0.500

Entry 4:
Entry from Alexandria via LeMat-Bulk: a geometry-optimized BeSb3Se structure (PBE-GGA).

Properties
electronic total energy = -3.42 eV per atom
offset from the most stable computed form = 0 meV/atom
energy relative to the elements, uncorrected = 0.495 eV per atom

Cell: 4.918 4.918 4.918 Å, 90.00 90.00 90.00°
Positions (direct):
1 Be 0.000 0.000 0.000
2 Sb 0.000 0.000 0.500
3 Sb 0.000 0.500 0.000
4 Sb 0.500 0.000 0.000
5 Se 0.500 0.500 0.500

Entry 5:
Entry from Alexandria via LeMat-Bulk: a geometry-optimized Y2TaPb structure (PBE-GGA).

Properties
electronic total energy = -7.10 eV per atom
energy of formation from the pure elements = 27 meV/atom

Cell: 4.588 4.700 9.623 Å, 90.00 90.00 90.00°
Positions (direct):
1 Y 0.000 0.000 0.231
2 Y 0.000 0.000 0.769
3 Y 0.500 0.500 0.231
4 Y 0.500 0.500 0.769
5 Ta 0.000 0.500 0.000
6 Ta 0.500 0.000 0.000
7 Pb 0.000 0.500 0.500
8 Pb 0.500 0.000 0.500

Entry 6:
Entry from Alexandria via LeMat-Bulk: a geometry-optimized Sm3Ho2Te6 structure (PBE-GGA).

Properties
electronic total energy = -5.19 eV per atom
energy relative to the elements, uncorrected = -1.357 eV per atom

Cell: 22.002 22.002 22.002 Å, 11.46 11.46 11.46°
Positions (direct):
1 Sm 0.000 0.000 0.000
2 Sm 0.278 0.278 0.278
3 Sm 0.722 0.722 0.722
4 Ho 0.448 0.448 0.448
5 Ho 0.552 0.552 0.552
6 Te 0.085 0.085 0.085
7 Te 0.195 0.195 0.195
8 Te 0.361 0.361 0.361
9 Te 0.639 0.639 0.639
10 Te 0.805 0.805 0.805
11 Te 0.915 0.915 0.915

Entry 7:
Entry from Alexandria via LeMat-Bulk: a geometry-optimized CsK2NaPt structure (PBE-GGA).

Properties
electronic total energy = -2.03 eV per atom
energy of formation from the pure elements = 56 meV/atom

Cell: 6.372 6.372 5.926 Å, 90.00 90.00 90.00°
Positions (direct):
1 Cs 0.000 0.000 0.000
2 K 0.000 0.500 0.500
3 K 0.500 0.000 0.500
4 Na 0.500 0.500 0.000
5 Pt 0.500 0.500 0.500

Entry 8:
Entry from Alexandria via LeMat-Bulk: a geometry-optimized FeCoCuRh structure (PBE-GGA).

Properties
electronic total energy = -6.69 eV per atom
energy of formation from the pure elements = 63 meV/atom

Cell: 5.851 5.851 5.851 Å, 90.00 90.00 90.00°
Positions (direct):
1 Fe 0.000 0.000 0.000
2 Fe 0.000 0.500 0.500
3 Fe 0.500 0.000 0.500
4 Fe 0.500 0.500 0.000
5 Co 0.250 0.250 0.750
6 Co 0.250 0.750 0.250
7 Co 0.750 0.250 0.250
8 Co 0.750 0.750 0.750
9 Cu 0.000 0.000 0.500
10 Cu 0.000 0.500 0.000
11 Cu 0.500 0.000 0.000
12 Cu 0.500 0.500 0.500
13 Rh 0.250 0.250 0.250
14 Rh 0.250 0.750 0.750
15 Rh 0.750 0.250 0.750
16 Rh 0.750 0.750 0.250